(1)
Density functional theory data (PBE-GGA) for crystalline Sm2Dy4Ho at its relaxed geometry.

POSCAR file:
```
Sm2Dy4Ho
1.0
3.7517 0.0000 0.0000
0.0000 13.5845 -0.0001
0.0000 -0.0002 18.4309
Sm Dy Ho
8 16 4
Cartesian
3.7509 1.7770 2.8276 Sm
1.8767 8.5692 2.8275 Sm
3.7509 5.0152 12.0430 Sm
1.8767 11.8074 12.0430 Sm
0.0008 8.5691 6.3877 Sm
1.8750 5.0150 15.6032 Sm
0.0008 11.8073 15.6031 Sm
1.8750 1.7768 6.3878 Sm
0.0015 5.6573 3.2819 Dy
3.7502 7.9269 15.1488 Dy
3.7510 11.0131 0.9953 Dy
1.8773 5.6572 5.9334 Dy
1.8765 4.2208 0.9953 Dy
3.7502 12.4494 5.9333 Dy
0.0015 1.1349 12.4974 Dy
1.8743 7.9271 12.4973 Dy
1.8773 1.1347 15.1488 Dy
1.8751 9.3634 17.4354 Dy
0.0007 2.5712 17.4355 Dy
0.0007 4.2207 8.2200 Dy
1.8751 11.0130 8.2199 Dy
1.8743 12.4496 3.2819 Dy
3.7510 9.3636 10.2107 Dy
1.8765 2.5713 10.2108 Dy
0.0000 -0.0001 9.2154 Ho
1.8758 6.7921 9.2154 Ho
0.0000 6.7922 -0.0001 Ho
1.8758 0.0000 0.0000 Ho
```

Results
Fermi-level density of states, states/eV/cell: 37.69
E above lowest polymorph, meV/atom: 70


(2)
Density functional theory data (PBE-GGA) for crystalline Sm12Dy2Ho5 at its relaxed geometry.

POSCAR file:
```
Sm12Dy2Ho5
1.0
-4.7225 0.3602 9.1783
4.4780 -7.5095 -3.2124
6.8118 2.3006 3.4145
Ho Dy Sm
5 2 12
Cartesian
4.4956 0.0586 8.1219 Ho
4.5211 -2.4064 2.4206 Ho
2.0717 -4.9073 1.2585 Ho
3.4059 1.1503 1.7073 Ho
2.0463 -2.4423 6.9598 Ho
-3.5305 0.2693 6.8617 Dy
-1.1919 0.0909 2.3166 Dy
-1.4227 -2.0478 8.2818 Sm
1.1146 -2.2414 3.3503 Sm
-0.0675 -4.7508 5.9629 Sm
5.3840 -4.9652 0.3326 Sm
1.1833 0.1165 9.0479 Sm
6.6348 -0.0979 3.4176 Sm
6.7303 -4.9331 3.6565 Sm
-0.1629 0.0844 5.7240 Sm
3.2447 -4.8020 4.4905 Sm
5.4527 -2.6073 6.0302 Sm
3.3226 -0.0467 4.8900 Sm
7.9900 -2.8008 1.0987 Sm
```

Results
Fermi-level density of states, states/eV/cell: 26.44
E above lowest polymorph, meV/atom: 31


(3)
Density functional theory data (PBE-GGA) for crystalline Sm12DyHo5 at its relaxed geometry.

POSCAR file:
```
Sm12DyHo5
1.0
-14.2463 3.8259 3.7768
-7.1022 -3.4062 7.3557
1.7962 3.4146 3.3151
Sm Ho Dy
12 5 1
Cartesian
-8.5744 2.4794 5.9935 Sm
-7.6818 5.9598 5.8277 Sm
-15.6905 2.6203 9.7034 Sm
-10.9869 4.8989 4.8083 Sm
-10.0835 4.8335 8.2889 Sm
-1.4633 2.3415 2.2837 Sm
-10.9781 1.3548 8.4542 Sm
-3.8619 1.2140 4.7443 Sm
-16.5991 2.6865 6.2250 Sm
-2.9534 1.1478 8.2227 Sm
-9.4689 -0.9993 6.1588 Sm
-4.7685 1.2806 1.2642 Sm
-13.3413 3.7602 7.2567 Ho
-7.1162 0.1383 3.7125 Ho
-6.2111 0.0740 7.1910 Ho
-14.2324 0.2814 7.4201 Ho
-6.2251 3.6202 3.5460 Ho
-0.0001 0.0000 0.0000 Dy
```

Results
Fermi-level density of states, states/eV/cell: 25.69
Electronic total energy, eV/atom: -4.6553


(4)
Density functional theory data (PBE-GGA) for crystalline Sm2DyHo2 at its relaxed geometry.

POSCAR file:
```
Sm2DyHo2
1.0
-4.3633 6.5122 -4.3981
-6.0888 -0.8784 6.5533
5.7574 0.9409 1.5421
Ho Sm Dy
4 4 2
Cartesian
-3.2620 5.2998 -1.8674 Ho
-0.6141 4.7818 0.3683 Ho
-1.4328 1.2750 5.5647 Ho
-4.0807 1.7930 3.3290 Ho
-3.1431 2.3417 -0.1322 Sm
-1.5516 4.2331 3.8295 Sm
-0.5236 1.7022 2.2836 Sm
-4.1712 4.8725 1.4137 Sm
-4.5407 -0.1771 6.2483 Dy
-0.1541 6.7519 -2.5510 Dy
```

Results
Fermi-level density of states, states/eV/cell: 13.92
E above lowest polymorph, meV/atom: 264


(5)
Density functional theory data (PBE-GGA) for crystalline Sm2Dy4Ho5 at its relaxed geometry.

POSCAR file:
```
Sm2Dy4Ho5
1.0
-1.8998 2.5620 1.4936
-0.6710 -6.3890 5.9513
9.7152 4.5822 4.4875
Ho Dy Sm
5 4 2
Cartesian
4.5275 -0.1365 10.1374 Ho
4.0215 2.8245 4.4120 Ho
3.1229 -2.0693 7.5203 Ho
2.6170 0.8917 1.7950 Ho
-0.9499 1.2810 0.7468 Ho
7.0125 2.2383 9.2187 Dy
0.1319 -1.4831 2.7136 Dy
5.4033 0.2156 6.4913 Dy
1.7411 0.5395 5.4411 Dy
0.6353 -2.8600 5.7134 Sm
6.5091 3.6151 6.2189 Sm
```

Results
Fermi-level density of states, states/eV/cell: 18.05
E above lowest polymorph, meV/atom: 0


(6)
Density functional theory data (PBE-GGA) for crystalline SmDy12Ho7 at its relaxed geometry.

POSCAR file:
```
SmDy12Ho7
1.0
-2.0701 5.3826 6.4604
2.3803 -6.5240 5.1737
8.0147 3.1088 -1.0465
Ho Sm Dy
7 1 12
Cartesian
5.3517 1.3183 10.4244 Ho
8.3575 -0.0666 8.3183 Ho
4.1624 0.9837 5.2938 Ho
7.5239 3.7662 8.2616 Ho
-0.0327 2.0340 2.2692 Ho
0.8009 -1.7988 2.3260 Ho
2.9732 0.6490 0.1631 Ho
0.0000 0.0000 0.0000 Sm
2.6767 2.8981 3.4040 Dy
4.5031 -0.4294 2.5862 Dy
2.5275 -0.8490 8.3447 Dy
1.4508 -0.4291 4.9862 Dy
3.8217 2.3968 8.0013 Dy
4.3802 4.8577 5.8275 Dy
3.9446 -2.8903 4.7600 Dy
6.8741 2.3965 5.6013 Dy
5.7974 2.8164 2.2428 Dy
0.7117 2.5444 6.2922 Dy
7.6132 -0.5770 4.2954 Dy
5.6481 -0.9307 7.1836 Dy
```

Results
Fermi-level density of states, states/eV/cell: 17.70
E above lowest polymorph, meV/atom: 0


(7)
Density functional theory data (PBE-GGA) for crystalline Sm3Dy3Ho4 at its relaxed geometry.

POSCAR file:
```
Sm3Dy3Ho4
1.0
3.6761 0.0000 0.0000
0.0000 9.3985 -0.0534
0.0000 0.0293 9.3986
Ho Dy Sm
4 3 3
Cartesian
0.0000 1.1897 1.1521 Ho
0.0000 5.8871 3.4890 Ho
0.0000 3.5338 5.8631 Ho
0.0000 8.2653 8.1657 Ho
1.8381 1.6566 7.7570 Dy
0.0000 0.0250 4.7279 Dy
0.0000 4.6998 9.3618 Dy
1.8381 3.0725 3.0528 Sm
1.8381 7.7765 1.5830 Sm
1.8381 6.3481 6.2997 Sm
```

Results
Fermi-level density of states, states/eV/cell: 7.94
Electronic total energy, eV/atom: -4.5325


(8)
Density functional theory data (PBE-GGA) for crystalline Sm7Dy2Ho2 at its relaxed geometry.

POSCAR file:
```
Sm7Dy2Ho2
1.0
-4.4649 6.5779 -1.9704
-6.4114 -2.6261 0.0390
-2.3226 1.9991 6.2140
Ho Sm Dy
2 7 2
Cartesian
-5.6465 0.8858 3.0755 Ho
-7.5523 5.0651 1.2071 Ho
-8.4234 2.4951 3.7088 Sm
-2.4357 1.9239 2.6100 Sm
0.0000 0.0000 0.0000 Sm
-10.7631 4.0270 1.6725 Sm
-4.0507 0.0972 0.1712 Sm
-9.1482 5.8537 4.1114 Sm
-4.7755 3.4558 0.5738 Sm
-5.4134 4.3171 3.9325 Dy
-7.7855 1.6338 0.3501 Dy
```

Results
Fermi-level density of states, states/eV/cell: 13.24
E above lowest polymorph, meV/atom: 18


(9)
Density functional theory data (PBE-GGA) for crystalline Sm4Dy7Ho at its relaxed geometry.

POSCAR file:
```
Sm4Dy7Ho
1.0
-5.9481 3.0085 1.4218
-3.1064 -5.2251 2.3797
-4.3448 3.5853 10.3459
Sm Ho Dy
4 1 7
Cartesian
-7.0545 2.1137 8.9502 Sm
-9.7268 0.1763 10.1438 Sm
-6.3447 -0.7449 5.1971 Sm
-3.6724 1.1925 4.0036 Sm
0.0000 0.0000 0.0000 Ho
-2.9043 -1.7740 1.9705 Dy
-6.8494 -1.1892 8.6840 Dy
-2.9740 1.5043 0.7109 Dy
-9.2854 0.5498 6.6839 Dy
-4.1138 0.8190 7.4635 Dy
-10.4949 3.1427 12.1769 Dy
-6.5498 2.5580 5.4633 Dy
```

Results
Fermi-level density of states, states/eV/cell: 19.04
E above lowest polymorph, meV/atom: 0


Q: Which value of Fermi-level density of states does entry 4 give?
A: 13.92 states/eV/cell


Q: Which value of Fermi-level density of states does entry 9 give?
A: 19.04 states/eV/cell


Q: Number 1 is which compound?
A: Sm2Dy4Ho